(1)
A plane-wave DFT calculation with PBE was carried out for a geometry-optimized PrGa2Ge2 structure.

The structure in POSCAR format:
```
PrGa2Ge2
1.0
-2.5776 -2.3895 -2.2393
-1.2526 -3.6833 1.4941
-7.6239 1.5506 3.2432
Ga Pr Ge
2 1 2
Direct
0.7764 0.7764 0.6708 Ga
0.2236 0.2236 0.3292 Ga
0.0000 0.0000 0.0000 Pr
0.5851 0.5851 0.2446 Ge
0.4149 0.4149 0.7554 Ge
```

Properties
The total magnetization comes out at 0.0 Bohr magnetons per cell. The density of states at the Fermi level comes out at 0.44 states/eV/atom. Its volume is 122 Å³/cell. For the energy of formation from the pure elements, the calculation gives -0.2243 eV per atom.

(2)
A plane-wave DFT calculation with PBE was carried out for a geometry-optimized Pr5Ga2Ge5 structure.

The structure in POSCAR format:
```
Pr5Ga2Ge5
1.0
-1.7509 -1.0765 3.7098
-7.3481 -2.4314 -1.7494
2.1047 -9.1285 0.7687
Pr Ga Ge
5 2 5
Direct
0.3178 0.2895 0.0748 Pr
0.6822 0.7105 0.9252 Pr
0.6303 0.0698 0.6696 Pr
0.0000 0.5000 0.5000 Pr
0.3697 0.9302 0.3304 Pr
0.3814 0.4769 0.7604 Ga
0.6186 0.5231 0.2396 Ga
0.7072 0.2267 0.3589 Ge
0.2928 0.7733 0.6411 Ge
0.9388 0.3034 0.8190 Ge
0.0000 0.0000 0.0000 Ge
0.0612 0.6966 0.1810 Ge
```

Properties
The total magnetization comes out at 0.0 Bohr magnetons per cell. The density of states at the Fermi level comes out at 0.44 states/eV/atom. Its volume is 297 Å³/cell. For the energy of formation from the pure elements, the calculation gives -0.7299 eV per atom.

(3)
A plane-wave DFT calculation with PBE was carried out for a geometry-optimized PrGaGe2 structure.

The structure in POSCAR format:
```
PrGaGe2
1.0
-3.1691 1.7317 1.5174
1.0104 -1.8717 4.2462
5.5890 8.2190 2.2930
Ga Ge Pr
2 4 2
Direct
0.0000 0.0000 0.6510 Ga
0.5000 0.5000 0.3490 Ga
0.0000 0.5000 0.1620 Ge
0.5000 0.0000 0.8380 Ge
0.0000 0.5000 0.5364 Ge
0.5000 0.0000 0.4636 Ge
0.0000 0.5000 0.8600 Pr
0.5000 0.0000 0.1400 Pr
```

Properties
The total magnetization comes out at 0.0 Bohr magnetons per cell. As for the polymorph energy (0 for the lowest one): 121.0 meV/atom. The density of states at the Fermi level comes out at 0.30 states/eV/atom. Its volume is 190 Å³/cell. For the energy of formation from the pure elements, the calculation gives -0.3310 eV per atom.

(4)
A plane-wave DFT calculation with PBE was carried out for a geometry-optimized PrGaGe structure.

The structure in POSCAR format:
```
PrGaGe
1.0
-2.6726 -2.5279 2.1198
-1.3745 -1.6890 -3.7471
7.0471 -4.3924 -0.6051
Ga Pr Ge
2 2 2
Direct
0.0378 0.3471 0.0755 Ga
0.9622 0.8471 0.9245 Ga
0.6329 0.8470 0.2657 Pr
0.3671 0.3470 0.7343 Pr
0.8121 0.8469 0.6243 Ge
0.1879 0.3469 0.3757 Ge
```

Properties
The total magnetization comes out at 0.0 Bohr magnetons per cell. The density of states at the Fermi level comes out at 0.36 states/eV/atom. Its volume is 148 Å³/cell. For the energy of formation from the pure elements, the calculation gives -0.5236 eV per atom.